VASP calculation (PBE) on a relaxed CsYNiTe3 crystal.

Lattice parameters (Å, degrees): 8.9776 8.9776 9.9147 92.81 92.81 29.64
Fractional coordinates of all 12 atoms:
1 Cs 0.1569 0.1569 0.0829
2 Cs 0.8431 0.8431 0.9171
3 Y 0.1626 0.1626 0.5862
4 Y 0.8374 0.8374 0.4138
5 Ni 0.4932 0.4932 0.6321
6 Ni 0.5068 0.5068 0.3679
7 Te 0.0000 0.0000 0.5000
8 Te 0.3377 0.3377 0.6288
9 Te 0.3814 0.3814 0.2198
10 Te 0.5000 0.5000 0.0000
11 Te 0.6186 0.6186 0.7802
12 Te 0.6623 0.6623 0.3712

Output
Magnetization ... 0.35 μB/f.u.
Theoretical density ... 5.58 g cm⁻³
Energy ... -0.1644 hartree per atom
Space group ... No. 12

***

VASP calculation (PBE) on a relaxed CsYNiTe3 crystal.

Lattice parameters (Å, degrees): 17.3869 4.3238 11.3970 90.00 90.00 90.00
Fractional coordinates of all 24 atoms:
1 Cs 0.2289 0.2500 0.0163
2 Cs 0.2711 0.7500 0.5163
3 Cs 0.7289 0.2500 0.4837
4 Cs 0.7711 0.7500 0.9837
5 Y 0.0213 0.2500 0.3452
6 Y 0.4787 0.7500 0.8452
7 Y 0.5213 0.2500 0.1548
8 Y 0.9787 0.7500 0.6548
9 Ni 0.0148 0.7500 0.1147
10 Ni 0.4852 0.2500 0.6147
11 Ni 0.5148 0.7500 0.3853
12 Ni 0.9852 0.2500 0.8853
13 Te 0.0598 0.7500 0.9032
14 Te 0.0971 0.2500 0.5859
15 Te 0.1299 0.7500 0.2499
16 Te 0.3701 0.2500 0.7499
17 Te 0.4029 0.7500 0.0859
18 Te 0.4402 0.2500 0.4032
19 Te 0.5598 0.7500 0.5968
20 Te 0.5971 0.2500 0.9141
21 Te 0.6299 0.7500 0.2501
22 Te 0.8701 0.2500 0.7501
23 Te 0.9029 0.7500 0.4141
24 Te 0.9402 0.2500 0.0968

Output
Magnetization ... 0.00 μB/f.u.
Theoretical density ... 5.14 g cm⁻³
Energy ... -0.1710 hartree per atom
Space group ... No. 62

***

VASP calculation (PBE) on a relaxed CsYNiTe3 crystal.

Lattice parameters (Å, degrees): 10.0841 4.3509 10.6616 90.00 113.06 90.00
Fractional coordinates of all 12 atoms:
1 Cs 0.2166 0.2500 0.2632
2 Cs 0.7834 0.7500 0.7368
3 Y 0.3250 0.7500 0.8641
4 Y 0.6750 0.2500 0.1359
5 Ni 0.0971 0.2500 0.6268
6 Ni 0.9029 0.7500 0.3732
7 Te 0.1144 0.2500 0.8707
8 Te 0.1620 0.7500 0.5426
9 Te 0.4765 0.7500 0.1742
10 Te 0.5235 0.2500 0.8258
11 Te 0.8380 0.2500 0.4574
12 Te 0.8856 0.7500 0.1293

Output
Magnetization ... 0.01 μB/f.u.
Theoretical density ... 5.12 g cm⁻³
Energy ... -0.1709 hartree per atom
Space group ... No. 11

***

VASP calculation (PBE) on a relaxed CsYNiTe3 crystal.

Lattice parameters (Å, degrees): 9.0656 9.0656 11.2505 90.00 90.00 152.88
Fractional coordinates of all 12 atoms:
1 Cs 0.2403 0.7597 0.7500
2 Cs 0.7597 0.2403 0.2500
3 Y 0.5000 0.5000 0.0000
4 Y 0.5000 0.5000 0.5000
5 Ni 0.0245 0.9755 0.2500
6 Ni 0.9755 0.0245 0.7500
7 Te 0.1171 0.8829 0.0734
8 Te 0.1171 0.8829 0.4266
9 Te 0.4392 0.5608 0.2500
10 Te 0.5608 0.4392 0.7500
11 Te 0.8829 0.1171 0.5734
12 Te 0.8829 0.1171 0.9266

Output
Magnetization ... 1.19 μB/f.u.
Theoretical density ... 5.23 g cm⁻³
Energy ... -0.1700 hartree per atom
Space group ... No. 63